Compound: VBiOs2
Source: Alexandria via LeMat-Bulk
Functional: PBE-GGA
Structure: optimized geometry

Lattice parameters (Å, degrees): 4.5562 4.5562 4.5562 60.00 60.00 60.00
Last column: nearest neighbours and their distance in Å.
Element x y z (fractional)
V (0.0000, 0.0000, 0.0000)  8 Os 2.79
Bi (0.5000, 0.5000, 0.5000)  8 Os 2.79
Os (0.2500, 0.2500, 0.2500)  4 Bi 2.79, 4 V 2.79
Os (0.7500, 0.7500, 0.7500)  4 Bi 2.79, 4 V 2.79

Output
symmetry = Fm-3m (225)
crystal system = cubic
density of states at the Fermi level = 2.93 states/eV per cell
magnetic moment = 1.611 μB per formula unit
uncorrected energy = -0.302 hartree per atom

=====

Compound: VBiOs3
Source: Alexandria via LeMat-Bulk
Functional: PBE-GGA
Structure: optimized geometry

Lattice parameters (Å, degrees): 4.9212 4.9212 4.9212 90.00 90.00 90.00
Last column: nearest neighbours and their distance in Å.
Element x y z (fractional)
V (0.0000, 0.0000, 0.0000)  12 Os 3.48
Bi (0.5000, 0.5000, 0.5000)  6 Os 2.46
Os (0.0000, 0.5000, 0.5000)  2 Bi 2.46
Os (0.5000, 0.0000, 0.5000)  2 Bi 2.46
Os (0.5000, 0.5000, 0.0000)  2 Bi 2.46

Output
symmetry = Pm-3m (221)
crystal system = cubic
density of states at the Fermi level = 9.51 states/eV per cell
magnetic moment = 0.556 μB per formula unit
uncorrected energy = -0.233 hartree per atom

=====

Compound: VBiOs
Source: Alexandria via LeMat-Bulk
Functional: PBE-GGA
Structure: optimized geometry

Lattice parameters (Å, degrees): 3.2144 3.2144 11.4890 90.08 90.08 90.06
Last column: nearest neighbours and their distance in Å.
Element x y z (fractional)
V (0.2491, 0.2491, 0.3258)  4 Os 2.55
V (0.7509, 0.7509, 0.6742)  4 Os 2.55
Bi (0.2521, 0.2521, 0.8487)  4 V 3.03, 1 Os 3.16, 4 Bi 3.21
Bi (0.7479, 0.7479, 0.1513)  4 V 3.03, 1 Os 3.16, 4 Bi 3.21
Os (0.2504, 0.2504, 0.5740)  4 V 2.55, 4 Os 2.84
Os (0.7496, 0.7496, 0.4260)  4 V 2.55, 4 Os 2.84

Output
symmetry = C2/m (12)
crystal system = monoclinic
density of states at the Fermi level = 3.84 states/eV per cell
magnetic moment = 0.000 μB per formula unit
uncorrected energy = -0.291 hartree per atom

=====

Compound: V2BiOs
Source: Alexandria via LeMat-Bulk
Functional: PBE-GGA
Structure: optimized geometry

Lattice parameters (Å, degrees): 4.5559 4.5559 4.5559 60.00 60.00 60.00
Last column: nearest neighbours and their distance in Å.
Element x y z (fractional)
V (0.2500, 0.2500, 0.2500)  4 Os 2.79, 4 Bi 2.79
V (0.7500, 0.7500, 0.7500)  4 Bi 2.79, 4 Os 2.79
Bi (0.0000, 0.0000, 0.0000)  8 V 2.79
Os (0.5000, 0.5000, 0.5000)  8 V 2.79

Output
symmetry = Fm-3m (225)
crystal system = cubic
density of states at the Fermi level = 6.99 states/eV per cell
magnetic moment = 3.062 μB per formula unit
uncorrected energy = -0.287 hartree per atom

=====

Compound: V3BiOs
Source: Alexandria via LeMat-Bulk
Functional: PBE-GGA
Structure: optimized geometry

Lattice parameters (Å, degrees): 4.6846 4.6846 4.6846 90.00 90.00 90.00
Last column: nearest neighbours and their distance in Å.
Element x y z (fractional)
V (0.0000, 0.0000, 0.5000)  2 Os 2.34
V (0.0000, 0.5000, 0.0000)  2 Os 2.34
V (0.5000, 0.0000, 0.0000)  2 Os 2.34
Bi (0.5000, 0.5000, 0.5000)  12 V 3.31
Os (0.0000, 0.0000, 0.0000)  6 V 2.34

Output
symmetry = Pm-3m (221)
crystal system = cubic
density of states at the Fermi level = 9.82 states/eV per cell
magnetic moment = 2.869 μB per formula unit
uncorrected energy = -0.281 hartree per atom

=====

Compound: VBiOs3
Source: Alexandria via LeMat-Bulk
Functional: PBE-GGA
Structure: optimized geometry

Lattice parameters (Å, degrees): 4.5847 4.5847 4.5847 90.00 90.00 90.00
Last column: nearest neighbours and their distance in Å.
Element x y z (fractional)
V (0.0000, 0.0000, 0.0000)  6 Os 2.29
Bi (0.5000, 0.5000, 0.5000)  12 Os 3.24
Os (0.0000, 0.0000, 0.5000)  2 V 2.29
Os (0.0000, 0.5000, 0.0000)  2 V 2.29
Os (0.5000, 0.0000, 0.0000)  2 V 2.29

Output
symmetry = Pm-3m (221)
crystal system = cubic
density of states at the Fermi level = 2.63 states/eV per cell
magnetic moment = 0.000 μB per formula unit
uncorrected energy = -0.288 hartree per atom

=====

Compound: VBiOs2
Source: Alexandria via LeMat-Bulk
Functional: PBE-GGA
Structure: optimized geometry

Lattice parameters (Å, degrees): 9.1377 9.1377 9.1377 153.06 153.06 38.47
Last column: nearest neighbours and their distance in Å.
Element x y z (fractional)
V (0.0000, 0.0000, 0.0000)  4 Os 2.51
V (0.7500, 0.2500, 0.5000)  4 Os 2.51
Bi (0.2500, 0.7500, 0.5000)  4 Os 2.79, 4 V 3.01
Bi (0.5000, 0.5000, 0.0000)  4 Os 2.79, 4 V 3.01
Os (0.0408, 0.6250, 0.9158)  2 V 2.51, 2 Os 2.55, 2 Bi 2.79
Os (0.3750, 0.2908, 0.4158)  2 V 2.51, 2 Os 2.55, 2 Bi 2.79
Os (0.7092, 0.1250, 0.0842)  2 V 2.51, 2 Os 2.55, 2 Bi 2.79
Os (0.8750, 0.9592, 0.5842)  2 V 2.51, 2 Os 2.55, 2 Bi 2.79

Output
symmetry = I-42d (122)
crystal system = tetragonal
density of states at the Fermi level = 7.57 states/eV per cell
magnetic moment = 0.844 μB per formula unit
uncorrected energy = -0.292 hartree per atom

=====

Compound: V2BiOs
Source: Alexandria via LeMat-Bulk
Functional: PBE-GGA
Structure: optimized geometry

Lattice parameters (Å, degrees): 9.2377 9.2377 9.2377 153.93 153.93 37.20
Last column: nearest neighbours and their distance in Å.
Element x y z (fractional)
V (0.0613, 0.6250, 0.9363)  2 Os 2.55, 2 V 2.60, 2 Bi 2.75
V (0.3750, 0.3113, 0.4363)  2 Os 2.55, 2 V 2.60, 2 Bi 2.75
V (0.6887, 0.1250, 0.0637)  2 Os 2.55, 2 V 2.60, 2 Bi 2.75
V (0.8750, 0.9387, 0.5637)  2 Os 2.55, 2 V 2.60, 2 Bi 2.75
Bi (0.2500, 0.7500, 0.5000)  4 V 2.75, 4 Os 2.95
Bi (0.5000, 0.5000, 0.0000)  4 V 2.75, 4 Os 2.95
Os (0.0000, 0.0000, 0.0000)  4 V 2.55
Os (0.7500, 0.2500, 0.5000)  4 V 2.55

Output
symmetry = I-42d (122)
crystal system = tetragonal
density of states at the Fermi level = 7.87 states/eV per cell
magnetic moment = 0.000 μB per formula unit
uncorrected energy = -0.274 hartree per atom

=====

Compound: VBi2Os
Source: Alexandria via LeMat-Bulk
Functional: PBE-GGA
Structure: optimized geometry

Lattice parameters (Å, degrees): 7.4903 7.4903 7.4903 128.78 128.78 75.36
Last column: nearest neighbours and their distance in Å.
Element x y z (fractional)
V (0.0000, 0.0000, 0.0000)  4 Bi 2.82
V (0.7500, 0.2500, 0.5000)  4 Bi 2.82
Bi (0.1483, 0.6250, 0.0233)  2 Os 2.64, 2 V 2.82
Bi (0.3750, 0.3983, 0.5233)  2 Os 2.64, 2 V 2.82
Bi (0.6017, 0.1250, 0.9767)  2 Os 2.64, 2 V 2.82
Bi (0.8750, 0.8517, 0.4767)  2 Os 2.64, 2 V 2.82
Os (0.2500, 0.7500, 0.5000)  4 Bi 2.64
Os (0.5000, 0.5000, 0.0000)  4 Bi 2.64

Output
symmetry = I-42d (122)
crystal system = tetragonal
density of states at the Fermi level = 6.42 states/eV per cell
magnetic moment = 3.477 μB per formula unit
uncorrected energy = -0.214 hartree per atom

=====

Compound: Zr2VBiOs
Source: Alexandria via LeMat-Bulk
Functional: PBE-GGA
Structure: optimized geometry

Lattice parameters (Å, degrees): 5.1248 5.1248 4.6363 90.00 90.00 90.00
Last column: nearest neighbours and their distance in Å.
Element x y z (fractional)
Zr (0.0000, 0.5000, 0.0000)  2 Os 2.56
Zr (0.5000, 0.0000, 0.0000)  2 Os 2.56
V (0.0000, 0.0000, 0.5000)  2 Os 2.32
Bi (0.5000, 0.5000, 0.5000)  8 Zr 3.46, 4 V 3.62
Os (0.0000, 0.0000, 0.0000)  2 V 2.32, 4 Zr 2.56

Output
symmetry = P4/mmm (123)
crystal system = tetragonal
density of states at the Fermi level = 3.47 states/eV per cell
magnetic moment = 0.572 μB per formula unit
uncorrected energy = -0.292 hartree per atom

=====

Compound: Bi4Os2W
Source: Alexandria via LeMat-Bulk
Functional: PBE-GGA
Structure: optimized geometry

Lattice parameters (Å, degrees): 7.6581 7.6581 7.6581 137.93 137.93 61.01
Last column: nearest neighbours and their distance in Å.
Element x y z (fractional)
Bi (0.0000, 0.5000, 0.5000)  2 W 2.75, 4 Os 3.00
Bi (0.2093, 0.2093, 0.0000)  1 Os 2.64, 1 W 2.76
Bi (0.5000, 0.0000, 0.5000)  2 W 2.75, 4 Os 3.00
Bi (0.7907, 0.7907, 0.0000)  1 Os 2.64, 1 W 2.76
Os (0.4090, 0.4090, 0.0000)  1 Os 2.40, 1 Bi 2.64
Os (0.5910, 0.5910, 0.0000)  1 Os 2.40, 1 Bi 2.64
W (0.0000, 0.0000, 0.0000)  6 Bi 2.75-2.76

Output
symmetry = I4/mmm (139)
crystal system = tetragonal
density of states at the Fermi level = 6.70 states/eV per cell
magnetic moment = 2.643 μB per formula unit
uncorrected energy = -0.218 hartree per atom

=====

Compound: Bi2Os2W
Source: Alexandria via LeMat-Bulk
Functional: PBE-GGA
Structure: optimized geometry

Lattice parameters (Å, degrees): 6.6937 6.6937 4.7163 90.00 90.00 90.00
Last column: nearest neighbours and their distance in Å.
Element x y z (fractional)
Bi (0.1812, 0.3188, 0.0000)  6 Os 2.94-3.18
Bi (0.3188, 0.8188, 0.0000)  6 Os 2.94-3.18
Bi (0.6812, 0.1812, 0.0000)  6 Os 2.94-3.18
Bi (0.8188, 0.6812, 0.0000)  6 Os 2.94-3.18
Os (0.1340, 0.6340, 0.5000)  1 Os 2.54, 2 W 2.61
Os (0.3660, 0.1340, 0.5000)  1 Os 2.54, 2 W 2.61
Os (0.6340, 0.8660, 0.5000)  1 Os 2.54, 2 W 2.61
Os (0.8660, 0.3660, 0.5000)  1 Os 2.54, 2 W 2.61
W (0.0000, 0.0000, 0.5000)  4 Os 2.61
W (0.5000, 0.5000, 0.5000)  4 Os 2.61

Output
symmetry = P4/mbm (127)
crystal system = tetragonal
density of states at the Fermi level = 10.45 states/eV per cell
magnetic moment = 0.070 μB per formula unit
uncorrected energy = -0.283 hartree per atom